Here is a geometry-optimized RbZn2MoF8 structure from Alexandria. Energies are from PBE+U.

Results
Symmetry: R-3, No. 148
Total energy, eV per atom: -4.565

Structure (POSCAR):
```
RbZn2MoF8
1.0
2.697 1.557 8.059
-2.697 1.557 8.059
0.000 -3.114 8.059
Rb Zn Mo F
1 2 1 8
Direct
0.000 0.000 0.000
0.248 0.248 0.248
0.752 0.752 0.752
0.500 0.500 0.500
0.129 0.455 0.763
0.237 0.871 0.545
0.324 0.324 0.324
0.455 0.763 0.129
0.545 0.237 0.871
0.676 0.676 0.676
0.763 0.129 0.455
0.871 0.545 0.237
```